Entry 1:
A plane-wave DFT calculation with PBE was carried out for an optimized crystal structure of Er2Tm5Th2.

Properties
energy of formation from the pure elements	0.021	eV per atom
density of states at the Fermi level	11.81	states/eV per cell
energy relative to the lowest polymorph listed for this composition	0.00	eV/f.u.
size of the total moment	0.000	μB per atom

abc: 3.535 11.157 7.814
angles: 73.44 76.91 71.47
Fractional coordinates of all 9 atoms:
Tm 0.558 0.778 0.329
Tm 0.000 0.000 0.000
Tm 0.442 0.222 0.671
Tm 0.109 0.554 0.675
Tm 0.891 0.446 0.325
Er 0.223 0.111 0.332
Er 0.777 0.889 0.668
Th 0.667 0.334 0.000
Th 0.333 0.666 0.000

***

Entry 2:
A plane-wave DFT calculation with PBE was carried out for an optimized crystal structure of Na3VRh2Se6.

Properties
density of states at the Fermi level	8.57	states/eV per cell
calculated total energy	-57.357	eV per formula unit
size of the total moment	0.167	μB per atom

abc: 6.578 6.578 7.085
angles: 98.89 98.89 119.98
Fractional coordinates of all 12 atoms:
Na 0.832 0.168 0.500
Na 0.168 0.832 0.500
Na 0.500 0.500 0.500
Se 0.935 0.597 0.805
Se 0.273 0.273 0.804
Se 0.727 0.727 0.196
Se 0.065 0.403 0.195
Se 0.403 0.065 0.195
Se 0.597 0.935 0.805
Rh 0.333 0.667 0.000
Rh 0.667 0.333 0.000
V 0.000 0.000 0.000